Record 1
CsV2Cl6: optimized geometry, PBE-GGA.

Cell lengths 6.3972, 6.3972, 7.8264 Å; angles 90.00, 90.00, 120.00 degrees
Space group P-31m (No. 162)
Asymmetric unit:
Cs1 0.0000 0.0000 0.0000 (multiplicity 1)
V1 0.3333 0.6667 0.5000 (multiplicity 2)
Cl1 0.0000 0.3750 0.6762 (multiplicity 6)

Values from the calculation:
E_form (uncorrected)   -1.43 eV per atom

=====

Record 2
Cs3VCl7: optimized geometry, PBE-GGA.

Cell lengths 10.1782, 10.1782, 7.2830 Å; angles 90.00, 90.00, 90.00 degrees
Space group P4/mbm (No. 127)
Asymmetric unit:
Cs1 0.0000 0.0000 0.0000 (multiplicity 2)
Cs2 0.1805 0.3195 0.5000 (multiplicity 4)
V1 0.0000 0.5000 0.0000 (multiplicity 2)
Cl1 0.0000 0.0000 0.5000 (multiplicity 2)
Cl2 0.1138 0.6138 0.2266 (multiplicity 8)
Cl3 0.1620 0.3380 0.0000 (multiplicity 4)

Values from the calculation:
E_form (uncorrected)   -1.63 eV per atom

=====

Record 3
CsV2Cl8: optimized geometry, PBE-GGA.

Cell lengths 13.4964, 7.2162, 8.8946 Å; angles 90.00, 111.06, 90.00 degrees
Space group C2/m (No. 12)
Asymmetric unit:
Cs1 0.0000 0.0000 0.0000 (multiplicity 2)
V1 0.2088 0.0000 0.6944 (multiplicity 4)
Cl1 0.1183 0.5000 0.1832 (multiplicity 4)
Cl2 0.1424 0.2426 0.7714 (multiplicity 8)
Cl3 0.1667 0.0000 0.4330 (multiplicity 4)

Values from the calculation:
E_form (uncorrected)   -1.34 eV per atom

=====

- What is the formula in the first record?
  CsV2Cl6